ErTmBeCu after structural relaxation. Source: Alexandria via LeMat-Bulk, functional PBE-GGA.

The space group is F-43m (No. 216) and the conventional cell measures 6.8003, 6.8003 and 6.8003 Å, with angles of 90.00, 90.00 and 90.00 degrees. The asymmetric unit holds Er at (0.0000, 0.0000, 0.0000), Tm at (0.0000, 0.0000, 0.5000), Be at (0.2500, 0.2500, 0.7500) and Cu at (0.2500, 0.2500, 0.2500).

The uncorrected energy comes out at -17.23 eV/f.u. As for the theoretical density: 8.63 g cm⁻³. The calculation puts the formation energy at -94 meV per atom. As for the crystal system: cubic.

---

Er2BeZnCu6 after structural relaxation. Source: Alexandria via LeMat-Bulk, functional PBE-GGA.

The space group is C2/m (No. 12) and the conventional cell measures 10.1816, 5.8602 and 6.4279 Å, with angles of 90.00, 122.23 and 90.00 degrees. The asymmetric unit holds Er at (0.2187, 0.0000, 0.1576), Be at (0.0000, 0.0000, 0.5000), Zn at (0.0000, 0.5000, 0.0000), Cu at (0.0429, 0.2856, 0.3471) and Cu at (0.2408, 0.0000, 0.6478).

The uncorrected energy comes out at -39.47 eV/f.u. As for the theoretical density: 8.09 g cm⁻³. The calculation puts the formation energy at -77 meV per atom. As for the crystal system: monoclinic.

---

Er2BeZn3Cu12 after structural relaxation. Source: Alexandria via LeMat-Bulk, functional PBE-GGA.

The space group is R-3m (No. 166, hexagonal axes) and the conventional cell measures 6.2292, 6.2292 and 25.1114 Å, with angles of 90.00, 90.00 and 120.00 degrees. The asymmetric unit holds Er at (0.0000, 0.0000, 0.1523), Be at (0.0000, 0.0000, 0.5000), Zn at (0.0000, 0.5000, 0.0000), Cu at (0.0544, 0.5272, 0.1017) and Cu at (0.0746, 0.5373, 0.6149).

The uncorrected energy comes out at -63.71 eV/f.u. As for the theoretical density: 7.69 g cm⁻³. The calculation puts the formation energy at 118 meV per atom. As for the crystal system: trigonal.

---

Er2Be3ZnCu12 after structural relaxation. Source: Alexandria via LeMat-Bulk, functional PBE-GGA.

The space group is R-3m (No. 166, hexagonal axes) and the conventional cell measures 7.5461, 7.5461 and 17.0918 Å, with angles of 90.00, 90.00 and 120.00 degrees. The asymmetric unit holds Er at (0.0000, 0.0000, 0.1010), Be at (0.0000, 0.5000, 0.0000), Zn at (0.0000, 0.0000, 0.5000), Cu at (0.0159, 0.5079, 0.8757) and Cu at (0.0396, 0.5198, 0.3592).

The uncorrected energy comes out at -65.18 eV/f.u. As for the theoretical density: 7.03 g cm⁻³. The calculation puts the formation energy at 309 meV per atom. As for the crystal system: trigonal.

---

Look up the theoretical density of the fourth one. 7.03 g cm⁻³